Record 1
InFeWAu | PBE-GGA | optimized geometry

Cell: 6.4366 6.4366 6.4366 Å, 90.00 90.00 90.00°
Closest atoms and distances in Å follow each position.
Fractional coordinates of all 16 atoms:
In  0.0000  0.0000  0.0000  4 W 2.79, 4 Fe 2.79
In  0.0000  0.5000  0.5000  4 W 2.79, 4 Fe 2.79
In  0.5000  0.0000  0.5000  4 W 2.79, 4 Fe 2.79
In  0.5000  0.5000  0.0000  4 W 2.79, 4 Fe 2.79
Fe  0.2500  0.2500  0.2500  4 In 2.79, 4 Au 2.79
Fe  0.2500  0.7500  0.7500  4 In 2.79, 4 Au 2.79
Fe  0.7500  0.2500  0.7500  4 In 2.79, 4 Au 2.79
Fe  0.7500  0.7500  0.2500  4 In 2.79, 4 Au 2.79
W  0.2500  0.2500  0.7500  4 In 2.79, 4 Au 2.79
W  0.2500  0.7500  0.2500  4 In 2.79, 4 Au 2.79
W  0.7500  0.2500  0.2500  4 In 2.79, 4 Au 2.79
W  0.7500  0.7500  0.7500  4 Au 2.79, 4 In 2.79
Au  0.0000  0.0000  0.5000  4 Fe 2.79, 4 W 2.79
Au  0.0000  0.5000  0.0000  4 Fe 2.79, 4 W 2.79
Au  0.5000  0.0000  0.0000  4 Fe 2.79, 4 W 2.79
Au  0.5000  0.5000  0.5000  4 Fe 2.79, 4 W 2.79

Crystal system   cubic
Total energy   -6.1842 eV per atom

=====

Record 2
Na3NdSm2Pb3 | PBE-GGA | optimized geometry

Cell: 5.2600 5.2600 10.7550 Å, 90.00 90.00 120.00°
Closest atoms and distances in Å follow each position.
Fractional coordinates of all 9 atoms:
Na  0.0000  0.0000  0.0000  3 Pb 3.04
Na  0.3333  0.6667  0.3129  4 Pb 3.05-3.37
Na  0.3333  0.6667  0.6871  4 Pb 3.05-3.37
Nd  0.6667  0.3333  0.5000  6 Pb 3.50, 2 Sm 3.60, 6 Na 3.64
Sm  0.6667  0.3333  0.1649  6 Na 3.43-3.52, 6 Pb 3.52-3.56, 1 Sm 3.55, 1 Nd 3.60
Sm  0.6667  0.3333  0.8351  6 Na 3.43-3.52, 6 Pb 3.52-3.56, 1 Sm 3.55, 1 Nd 3.60
Pb  0.0000  0.0000  0.3383  3 Na 3.05
Pb  0.0000  0.0000  0.6617  3 Na 3.05
Pb  0.3333  0.6667  0.0000  5 Na 3.04-3.37

Crystal system   hexagonal
Total energy   -3.5154 eV per atom